1.
! CrNiIr3, single point on PBEsol structure, DFT SCAN; values from VASP
! - Spin magnetization: 0.9 μB per cell
! - DFT formation energy: 8.08 eV/f.u.
&SYSTEM
  ibrav = 0, nat = 5, ntyp = 3
/
ATOMIC_SPECIES
Ni 58.69 Ni.upf
Ir 192.22 Ir.upf
Cr 52.00 Cr.upf
CELL_PARAMETERS angstrom
4.378 0.000 0.000
0.000 4.378 0.000
0.000 0.000 4.378
ATOMIC_POSITIONS crystal
Ni 0.500 0.500 0.500
Ir 0.000 0.500 0.000
Ir 0.000 0.000 0.500
Ir 0.500 0.000 0.000
Cr 0.000 0.000 0.000

---

2.
! Cr3NiIr, single point on PBEsol structure, DFT SCAN; values from VASP
! - Spin magnetization: 10.5 μB per cell
! - DFT formation energy: 6.31 eV/f.u.
&SYSTEM
  ibrav = 0, nat = 5, ntyp = 3
/
ATOMIC_SPECIES
Ni 58.69 Ni.upf
Ir 192.22 Ir.upf
Cr 52.00 Cr.upf
CELL_PARAMETERS angstrom
-4.370 -1.196 0.609
0.362 -3.048 -3.387
1.292 -3.190 3.008
ATOMIC_POSITIONS crystal
Ni 0.500 0.500 0.500
Ir 0.000 0.000 0.000
Cr 0.000 0.500 0.000
Cr 0.000 0.000 0.500
Cr 0.500 0.000 0.000